# LaTlCuAu (PBE-GGA, optimized geometry)
data_LaTlCuAu
_chemical_formula_sum 'La4 Tl4 Cu4 Au4'
_symmetry_space_group_name_H-M 'F -4 3 m'
_symmetry_Int_Tables_number 216
_symmetry_space_group_name_Hall 'F -4 2 3'
_cell_length_a 7.170
_cell_length_b 7.170
_cell_length_c 7.170
_cell_angle_alpha 90.00
_cell_angle_beta 90.00
_cell_angle_gamma 90.00
loop_
_atom_site_label
_atom_site_type_symbol
_atom_site_fract_x
_atom_site_fract_y
_atom_site_fract_z
La1 La 0.000 0.000 0.000
Tl1 Tl 0.000 0.000 0.500
Cu1 Cu 0.250 0.250 0.750
Au1 Au 0.250 0.250 0.250
# ΔE_f = -0.357 eV/atom
# N(E_F) = 14.91 states/eV/cell



# CaInCl4 (PBE-GGA, optimized geometry)
data_CaInCl4
_chemical_formula_sum 'Ca2 In2 Cl8'
_symmetry_space_group_name_H-M 'C 1 2/m 1'
_symmetry_Int_Tables_number 12
_symmetry_space_group_name_Hall '-C 2y'
_cell_length_a 14.395
_cell_length_b 4.226
_cell_length_c 7.105
_cell_angle_alpha 90.00
_cell_angle_beta 117.49
_cell_angle_gamma 90.00
loop_
_atom_site_label
_atom_site_type_symbol
_atom_site_fract_x
_atom_site_fract_y
_atom_site_fract_z
Ca1 Ca 0.000 0.000 0.000
In1 In 0.000 0.500 0.500
Cl1 Cl 0.110 0.000 0.439
Cl2 Cl 0.111 0.500 0.945
# ΔE to the lowest computed polymorph = 0.0 meV/atom
# N(E_F) = 7.76 states/eV/cell



# ScCd2Ru (PBE-GGA, optimized geometry)
data_ScCd2Ru
_chemical_formula_sum 'Sc4 Cd8 Ru4'
_symmetry_space_group_name_H-M 'I -4 2 d'
_symmetry_Int_Tables_number 122
_symmetry_space_group_name_Hall 'I -4 2bw'
_cell_length_a 3.935
_cell_length_b 3.935
_cell_length_c 20.933
_cell_angle_alpha 90.00
_cell_angle_beta 90.00
_cell_angle_gamma 90.00
loop_
_atom_site_label
_atom_site_type_symbol
_atom_site_fract_x
_atom_site_fract_y
_atom_site_fract_z
Sc1 Sc 0.000 0.000 0.000
Cd1 Cd 0.237 0.250 0.625
Ru1 Ru 0.000 0.000 0.500
# ΔE_f = 0.164 eV/atom
# N(E_F) = 6.68 states/eV/cell



# LiMgZrZn2 (PBE-GGA, optimized geometry)
data_LiMgZrZn2
_chemical_formula_sum 'Li1 Mg1 Zr1 Zn2'
_symmetry_space_group_name_H-M 'P 4/m m m'
_symmetry_Int_Tables_number 123
_symmetry_space_group_name_Hall '-P 4 2'
_cell_length_a 4.668
_cell_length_b 4.668
_cell_length_c 4.425
_cell_angle_alpha 90.00
_cell_angle_beta 90.00
_cell_angle_gamma 90.00
loop_
_atom_site_label
_atom_site_type_symbol
_atom_site_fract_x
_atom_site_fract_y
_atom_site_fract_z
Li1 Li 0.000 0.000 0.000
Mg1 Mg 0.000 0.000 0.500
Zr1 Zr 0.500 0.500 0.000
Zn1 Zn 0.000 0.500 0.500
# ΔE_f = 0.515 eV/atom
# N(E_F) = 2.54 states/eV/cell



# ScPtW (PBE-GGA, optimized geometry)
data_ScPtW
_chemical_formula_sum 'Sc4 Pt4 W4'
_symmetry_space_group_name_H-M 'F -4 3 m'
_symmetry_Int_Tables_number 216
_symmetry_space_group_name_Hall 'F -4 2 3'
_cell_length_a 6.232
_cell_length_b 6.232
_cell_length_c 6.232
_cell_angle_alpha 90.00
_cell_angle_beta 90.00
_cell_angle_gamma 90.00
loop_
_atom_site_label
_atom_site_type_symbol
_atom_site_fract_x
_atom_site_fract_y
_atom_site_fract_z
Sc1 Sc 0.000 0.000 0.000
Pt1 Pt 0.250 0.250 0.750
W1 W 0.000 0.000 0.500
# ΔE_f = 0.098 eV/atom
# ΔE to the lowest computed polymorph = 438.0 meV/atom
# N(E_F) = 18.37 states/eV/cell



# Cs2SrThO4 (PBE-GGA, optimized geometry)
data_Cs2SrThO4
_chemical_formula_sum 'Cs2 Sr1 Th1 O4'
_symmetry_space_group_name_H-M 'P 1 2/m 1'
_symmetry_Int_Tables_number 10
_symmetry_space_group_name_Hall '-P 2y'
_cell_length_a 6.538
_cell_length_b 3.783
_cell_length_c 7.296
_cell_angle_alpha 90.00
_cell_angle_beta 107.73
_cell_angle_gamma 90.00
loop_
_atom_site_label
_atom_site_type_symbol
_atom_site_fract_x
_atom_site_fract_y
_atom_site_fract_z
Cs1 Cs 0.000 0.000 0.000
Cs2 Cs 0.500 0.500 0.000
Sr1 Sr 0.000 0.500 0.500
Th1 Th 0.500 0.000 0.500
O1 O 0.257 0.000 0.669
O2 O 0.298 0.500 0.328
# Final energy = -6.375 eV/atom
# N(E_F) = 0.00 states/eV/cell



# MgMnCr2 (PBE-GGA, optimized geometry)
data_MgMnCr2
_chemical_formula_sum 'Mg1 Mn1 Cr2'
_symmetry_space_group_name_H-M 'P 4/m m m'
_symmetry_Int_Tables_number 123
_symmetry_space_group_name_Hall '-P 4 2'
_cell_length_a 2.741
_cell_length_b 2.741
_cell_length_c 7.171
_cell_angle_alpha 90.00
_cell_angle_beta 90.00
_cell_angle_gamma 90.00
loop_
_atom_site_label
_atom_site_type_symbol
_atom_site_fract_x
_atom_site_fract_y
_atom_site_fract_z
Mg1 Mg 0.000 0.000 0.000
Mn1 Mn 0.000 0.000 0.500
Cr1 Cr 0.500 0.500 0.301
# ΔE_f = 0.406 eV/atom
# N(E_F) = 4.92 states/eV/cell



# V5Cr5Ge6 (PBE-GGA, optimized geometry)
data_V5Cr5Ge6
_chemical_formula_sum 'V10 Cr10 Ge12'
_symmetry_space_group_name_H-M 'C 1 m 1'
_symmetry_Int_Tables_number 8
_symmetry_space_group_name_Hall 'C -2y'
_cell_length_a 13.350
_cell_length_b 4.794
_cell_length_c 9.420
_cell_angle_alpha 90.00
_cell_angle_beta 134.87
_cell_angle_gamma 90.00
loop_
_atom_site_label
_atom_site_type_symbol
_atom_site_fract_x
_atom_site_fract_y
_atom_site_fract_z
V1 V 0.000 0.000 0.000
V2 V 0.002 0.500 0.537
V3 V 0.076 0.250 0.342
V4 V 0.152 0.000 0.685
Cr1 Cr 0.152 0.500 0.152
Cr2 Cr 0.308 0.000 0.149
Cr3 Cr 0.311 0.500 0.998
Cr4 Cr 0.346 0.500 0.538
Cr5 Cr 0.347 0.000 0.685
Ge1 Ge 0.080 0.251 0.847
Ge2 Ge 0.244 0.500 0.676
Ge3 Ge 0.245 0.000 0.341
Ge4 Ge 0.406 0.500 0.339
Ge5 Ge 0.410 0.000 0.006
# ΔE_f = -0.181 eV/atom
# N(E_F) = 25.40 states/eV/cell



# NbPCl2 (PBE-GGA, optimized geometry)
data_NbPCl2
_chemical_formula_sum 'Nb4 P4 Cl8'
_symmetry_space_group_name_H-M 'F m -3 m'
_symmetry_Int_Tables_number 225
_symmetry_space_group_name_Hall '-F 4 2 3'
_cell_length_a 6.414
_cell_length_b 6.414
_cell_length_c 6.414
_cell_angle_alpha 90.00
_cell_angle_beta 90.00
_cell_angle_gamma 90.00
loop_
_atom_site_label
_atom_site_type_symbol
_atom_site_fract_x
_atom_site_fract_y
_atom_site_fract_z
Nb1 Nb 0.000 0.000 0.000
P1 P 0.000 0.000 0.500
Cl1 Cl 0.250 0.250 0.250
# ΔE to the lowest computed polymorph = 695.0 meV/atom
# N(E_F) = 15.79 states/eV/cell



# LiNd2Ir9 (PBE-GGA, optimized geometry)
data_LiNd2Ir9
_chemical_formula_sum 'Li3 Nd6 Ir27'
_symmetry_space_group_name_H-M 'R -3 m'
_symmetry_Int_Tables_number 166
_symmetry_space_group_name_Hall '-R 3 2"'
_cell_length_a 5.3372
_cell_length_b 5.3372
_cell_length_c 26.4168
_cell_angle_alpha 90.00
_cell_angle_beta 90.00
_cell_angle_gamma 120.00
loop_
_atom_site_label
_atom_site_type_symbol
_atom_site_fract_x
_atom_site_fract_y
_atom_site_fract_z
Li1 Li 0.0000 0.0000 0.0000
Nd1 Nd 0.0000 0.0000 0.1362
Ir1 Ir 0.0000 0.0000 0.3323
Ir2 Ir 0.0000 0.0000 0.5000
Ir3 Ir 0.0027 0.5014 0.0804
# ΔE_f = -0.265 eV/atom
# N(E_F) = 35.82 states/eV/cell



# HoPd14Au (PBE-GGA, optimized geometry)
data_HoPd14Au
_chemical_formula_sum 'Ho1 Pd14 Au1'
_symmetry_space_group_name_H-M 'P 4/m m m'
_symmetry_Int_Tables_number 123
_symmetry_space_group_name_Hall '-P 4 2'
_cell_length_a 5.649
_cell_length_b 5.649
_cell_length_c 8.054
_cell_angle_alpha 90.00
_cell_angle_beta 90.00
_cell_angle_gamma 90.00
loop_
_atom_site_label
_atom_site_type_symbol
_atom_site_fract_x
_atom_site_fract_y
_atom_site_fract_z
Ho1 Ho 0.000 0.000 0.000
Pd1 Pd 0.000 0.000 0.500
Pd2 Pd 0.000 0.500 0.000
Pd3 Pd 0.000 0.500 0.500
Pd4 Pd 0.251 0.251 0.255
Pd5 Pd 0.500 0.500 0.500
Au1 Au 0.500 0.500 0.000
# ΔE_f = -0.219 eV/atom
# N(E_F) = 31.97 states/eV/cell



# DyY2Er2Mg (PBE-GGA, optimized geometry)
data_DyY2Er2Mg
_chemical_formula_sum 'Dy2 Y4 Er4 Mg2'
_symmetry_space_group_name_H-M 'P n n m'
_symmetry_Int_Tables_number 58
_symmetry_space_group_name_Hall '-P 2 2n'
_cell_length_a 10.376
_cell_length_b 11.599
_cell_length_c 3.603
_cell_angle_alpha 90.00
_cell_angle_beta 90.00
_cell_angle_gamma 90.00
loop_
_atom_site_label
_atom_site_type_symbol
_atom_site_fract_x
_atom_site_fract_y
_atom_site_fract_z
Dy1 Dy 0.000 0.000 0.000
Y1 Y 0.249 0.429 0.000
Er1 Er 0.084 0.225 0.500
Mg1 Mg 0.000 0.500 0.500
# ΔE_f = 0.490 eV/atom
# N(E_F) = 16.70 states/eV/cell



# YF (PBE-GGA, optimized geometry)
data_YF
_chemical_formula_sum 'Y6 F6'
_symmetry_space_group_name_H-M 'P m -3 n'
_symmetry_Int_Tables_number 223
_symmetry_space_group_name_Hall '-P 4n 2 3'
_cell_length_a 6.684
_cell_length_b 6.684
_cell_length_c 6.684
_cell_angle_alpha 90.00
_cell_angle_beta 90.00
_cell_angle_gamma 90.00
loop_
_atom_site_label
_atom_site_type_symbol
_atom_site_fract_x
_atom_site_fract_y
_atom_site_fract_z
Y1 Y 0.000 0.250 0.500
F1 F 0.000 0.500 0.250
# ΔE to the lowest computed polymorph = 693.8 meV/atom
# N(E_F) = 12.19 states/eV/cell



# Tb3DyRu (PBE-GGA, optimized geometry)
data_Tb3DyRu
_chemical_formula_sum 'Tb6 Dy2 Ru2'
_symmetry_space_group_name_H-M 'P m n 21'
_symmetry_Int_Tables_number 31
_symmetry_space_group_name_Hall 'P 2ac -2'
_cell_length_a 7.629
_cell_length_b 6.406
_cell_length_c 6.222
_cell_angle_alpha 90.00
_cell_angle_beta 90.00
_cell_angle_gamma 90.00
loop_
_atom_site_label
_atom_site_type_symbol
_atom_site_fract_x
_atom_site_fract_y
_atom_site_fract_z
Tb1 Tb 0.000 0.157 0.000
Tb2 Tb 0.250 0.320 0.505
Dy1 Dy 0.000 0.842 0.509
Ru1 Ru 0.000 0.501 0.255
# ΔE_f = -0.128 eV/atom
# ΔE to the lowest computed polymorph = 77.5 meV/atom
# N(E_F) = 11.92 states/eV/cell



# CaTeIrN2 (PBE-GGA, optimized geometry)
data_CaTeIrN2
_chemical_formula_sum 'Ca1 Te1 Ir1 N2'
_symmetry_space_group_name_H-M 'P 4/m m m'
_symmetry_Int_Tables_number 123
_symmetry_space_group_name_Hall '-P 4 2'
_cell_length_a 3.991
_cell_length_b 3.991
_cell_length_c 5.772
_cell_angle_alpha 90.00
_cell_angle_beta 90.00
_cell_angle_gamma 90.00
loop_
_atom_site_label
_atom_site_type_symbol
_atom_site_fract_x
_atom_site_fract_y
_atom_site_fract_z
Ca1 Ca 0.000 0.000 0.000
Te1 Te 0.500 0.500 0.000
Ir1 Ir 0.500 0.500 0.500
N1 N 0.000 0.500 0.500
# ΔE to the lowest computed polymorph = 0.0 meV/atom
# N(E_F) = 1.64 states/eV/cell



# ScTa2MoI (PBE-GGA, optimized geometry)
data_ScTa2MoI
_chemical_formula_sum 'Sc1 Ta2 Mo1 I1'
_symmetry_space_group_name_H-M 'P 4/m m m'
_symmetry_Int_Tables_number 123
_symmetry_space_group_name_Hall '-P 4 2'
_cell_length_a 4.989
_cell_length_b 4.989
_cell_length_c 5.008
_cell_angle_alpha 90.00
_cell_angle_beta 90.00
_cell_angle_gamma 90.00
loop_
_atom_site_label
_atom_site_type_symbol
_atom_site_fract_x
_atom_site_fract_y
_atom_site_fract_z
Sc1 Sc 0.000 0.000 0.000
Ta1 Ta 0.000 0.500 0.500
Mo1 Mo 0.500 0.500 0.000
I1 I 0.000 0.000 0.500
# Final energy = -6.534 eV/atom
# N(E_F) = 6.22 states/eV/cell



# KRh2Pb (PBE-GGA, optimized geometry)
data_KRh2Pb
_chemical_formula_sum 'K2 Rh4 Pb2'
_symmetry_space_group_name_H-M 'I -4 m 2'
_symmetry_Int_Tables_number 119
_symmetry_space_group_name_Hall 'I -4 -2'
_cell_length_a 4.211
_cell_length_b 4.211
_cell_length_c 9.111
_cell_angle_alpha 90.00
_cell_angle_beta 90.00
_cell_angle_gamma 90.00
loop_
_atom_site_label
_atom_site_type_symbol
_atom_site_fract_x
_atom_site_fract_y
_atom_site_fract_z
K1 K 0.000 0.000 0.000
Rh1 Rh 0.000 0.000 0.500
Rh2 Rh 0.000 0.500 0.250
Pb1 Pb 0.000 0.500 0.750
# ΔE_f = 0.592 eV/atom
# N(E_F) = 11.72 states/eV/cell



# InS2O8 (PBE-GGA, optimized geometry)
data_InS2O8
_chemical_formula_sum 'In4 S8 O32'
_symmetry_space_group_name_H-M 'C 1 2/c 1'
_symmetry_Int_Tables_number 15
_symmetry_space_group_name_Hall '-C 2yc'
_cell_length_a 12.885
_cell_length_b 7.328
_cell_length_c 9.345
_cell_angle_alpha 90.00
_cell_angle_beta 124.78
_cell_angle_gamma 90.00
loop_
_atom_site_label
_atom_site_type_symbol
_atom_site_fract_x
_atom_site_fract_y
_atom_site_fract_z
In1 In 0.000 0.010 0.250
S1 S 0.100 0.231 0.552
O1 O 0.035 0.226 0.110
O2 O 0.099 0.194 0.710
O3 O 0.163 0.073 0.523
O4 O 0.165 0.401 0.575
# Final energy = -5.758 eV/atom
# N(E_F) = 20.03 states/eV/cell



# AlIn2W (PBE-GGA, optimized geometry)
data_AlIn2W
_chemical_formula_sum 'Al2 In4 W2'
_symmetry_space_group_name_H-M 'C m m 2'
_symmetry_Int_Tables_number 35
_symmetry_space_group_name_Hall 'C 2 -2'
_cell_length_a 4.095
_cell_length_b 4.260
_cell_length_c 9.156
_cell_angle_alpha 90.00
_cell_angle_beta 90.00
_cell_angle_gamma 90.00
loop_
_atom_site_label
_atom_site_type_symbol
_atom_site_fract_x
_atom_site_fract_y
_atom_site_fract_z
Al1 Al 0.000 0.000 0.000
In1 In 0.000 0.000 0.562
In2 In 0.000 0.500 0.259
W1 W 0.000 0.500 0.803
# ΔE_f = 0.342 eV/atom
# N(E_F) = 3.69 states/eV/cell



# InCuSi (PBE-GGA, optimized geometry)
data_InCuSi
_chemical_formula_sum 'In2 Cu2 Si2'
_symmetry_space_group_name_H-M 'P 1 m 1'
_symmetry_Int_Tables_number 6
_symmetry_space_group_name_Hall 'P -2y'
_cell_length_a 4.795
_cell_length_b 3.980
_cell_length_c 6.039
_cell_angle_alpha 90.00
_cell_angle_beta 98.04
_cell_angle_gamma 90.00
loop_
_atom_site_label
_atom_site_type_symbol
_atom_site_fract_x
_atom_site_fract_y
_atom_site_fract_z
In1 In 0.000 0.000 0.000
In2 In 0.480 0.500 0.983
Cu1 Cu 0.408 0.500 0.510
Cu2 Cu 0.872 0.500 0.363
Si1 Si 0.140 0.000 0.455
Si2 Si 0.680 0.000 0.589
# Final energy = -3.959 eV/atom
# N(E_F) = 1.76 states/eV/cell